(1)
# KTc2Ni, PBEsol geometry, DFT SCAN
data_KTc2Ni
_chemical_formula_sum 'K2 Tc4 Ni2'
_space_group_name_H-M_alt 'C 1 m 1'
_space_group_IT_number 8
_cell_length_a 8.402
_cell_length_b 2.569
_cell_length_c 7.112
_cell_angle_alpha 90.00
_cell_angle_beta 91.54
_cell_angle_gamma 90.00
loop_
_space_group_symop_operation_xyz
'x,y,z'
'x,-y,z'
'x+1/2,y+1/2,z'
'x+1/2,-y+1/2,z'
loop_
_atom_site_label
_atom_site_fract_x
_atom_site_fract_y
_atom_site_fract_z
_atom_site_occupancy
K1 0.000 0.000 0.000 1
Tc1 0.237 0.000 0.638 1
Tc2 0.481 0.000 0.487 1
Ni1 0.253 0.500 0.334 1
# DOS(E_F) = 3.6 states/eV/f.u.
# mass density = 6.36 g/cm³
# final energy = -22.90 eV/atom
# formation energy from the elements = 0.757 eV/atom

(2)
# KTcNi2, PBEsol geometry, DFT SCAN
data_KTcNi2
_chemical_formula_sum 'K4 Tc4 Ni8'
_space_group_name_H-M_alt 'F -4 3 m'
_space_group_IT_number 216
_space_group_name_Hall 'F -4 2 3'
_cell_length_a 6.100
_cell_length_b 6.100
_cell_length_c 6.100
_cell_angle_alpha 90.00
_cell_angle_beta 90.00
_cell_angle_gamma 90.00
loop_
_atom_site_label
_atom_site_fract_x
_atom_site_fract_y
_atom_site_fract_z
_atom_site_occupancy
K1 0.000 0.000 0.000 1
Tc1 0.250 0.250 0.250 1
Ni1 0.000 0.000 0.500 1
Ni2 0.250 0.250 0.750 1
# DOS(E_F) = 4.3 states/eV/f.u.
# mass density = 7.45 g/cm³
# final energy = -17.46 eV/atom
# formation energy from the elements = 1.471 eV/atom

(3)
# KTc2Ni, PBEsol geometry, DFT SCAN
data_KTc2Ni
_chemical_formula_sum 'K2 Tc4 Ni2'
_space_group_name_H-M_alt 'I m m 2'
_space_group_IT_number 44
_cell_length_a 2.993
_cell_length_b 5.331
_cell_length_c 9.021
_cell_angle_alpha 90.00
_cell_angle_beta 90.00
_cell_angle_gamma 90.00
loop_
_space_group_symop_operation_xyz
'x,y,z'
'-x,-y,z'
'-x,y,z'
'x,-y,z'
'x+1/2,y+1/2,z+1/2'
'-x+1/2,-y+1/2,z+1/2'
'-x+1/2,y+1/2,z+1/2'
'x+1/2,-y+1/2,z+1/2'
loop_
_atom_site_label
_atom_site_fract_x
_atom_site_fract_y
_atom_site_fract_z
_atom_site_occupancy
K1 0.000 0.000 0.000 1
Tc1 0.000 0.000 0.505 1
Tc2 0.000 0.500 0.197 1
Ni1 0.000 0.500 0.791 1
# DOS(E_F) = 3.6 states/eV/f.u.
# mass density = 6.78 g/cm³
# final energy = -22.46 eV/atom
# formation energy from the elements = 1.199 eV/atom

(4)
# KTcNi2, PBEsol geometry, DFT SCAN
data_KTcNi2
_chemical_formula_sum 'K1 Tc1 Ni2'
_space_group_name_H-M_alt 'P m m m'
_space_group_IT_number 47
_cell_length_a 2.555
_cell_length_b 4.656
_cell_length_c 5.049
_cell_angle_alpha 90.00
_cell_angle_beta 90.00
_cell_angle_gamma 90.00
loop_
_space_group_symop_operation_xyz
'x,y,z'
'-x,-y,-z'
'-x,-y,z'
'x,y,-z'
'x,-y,-z'
'-x,y,z'
'-x,y,-z'
'x,-y,z'
loop_
_atom_site_label
_atom_site_fract_x
_atom_site_fract_y
_atom_site_fract_z
_atom_site_occupancy
K1 0.000 0.000 0.000 1
Tc1 0.500 0.000 0.500 1
Ni1 0.000 0.500 0.500 1
Ni2 0.500 0.500 0.000 1
# DOS(E_F) = 3.0 states/eV/f.u.
# mass density = 7.04 g/cm³
# final energy = -17.53 eV/atom
# formation energy from the elements = 1.400 eV/atom